# SrLa2CuO5 (GGA-PBE, optimized geometry)
# ρ = 6258 kg/m³
data_SrLa2CuO5
_chemical_formula_sum 'Sr2 La4 Cu2 O10'
_cell_length_a 6.8443
_cell_length_b 6.8443
_cell_length_c 7.5278
_cell_angle_alpha 117.04
_cell_angle_beta 117.04
_cell_angle_gamma 90.00
_space_group_name_H-M_alt 'P 1'
_space_group_IT_number 1
loop_
_space_group_symop_operation_xyz
'x,y,z'
loop_
_atom_site_label
_atom_site_type_symbol
_atom_site_fract_x
_atom_site_fract_y
_atom_site_fract_z
Sr1 Sr 0.2500 0.2500 0.5000
Sr2 Sr 0.7500 0.7500 0.5000
La1 La 0.1728 0.3272 0.0000
La2 La 0.6728 0.1728 0.0000
La3 La 0.3272 0.8272 0.0000
La4 La 0.8272 0.6728 0.0000
Cu1 Cu 0.2500 0.7500 0.5000
Cu2 Cu 0.7500 0.2500 0.5000
O1 O 0.9868 0.4868 0.2671
O2 O 0.7197 0.2197 0.7329
O3 O 0.0132 0.5132 0.7329
O4 O 0.2197 0.0132 0.7329
O5 O 0.5132 0.7197 0.7329
O6 O 0.7803 0.9868 0.2671
O7 O 0.4868 0.2803 0.2671
O8 O 0.2803 0.7803 0.2671
O9 O 0.5000 0.5000 0.0000
O10 O 0.0000 0.0000 0.0000

***

# Sr2LaCu3O6 (GGA-PBE, optimized geometry)
# ρ = 5646 kg/m³
data_Sr2LaCu3O6
_chemical_formula_sum 'Sr2 La1 Cu3 O6'
_cell_length_a 3.8668
_cell_length_b 3.8668
_cell_length_c 11.8186
_cell_angle_alpha 90.00
_cell_angle_beta 90.00
_cell_angle_gamma 90.00
_space_group_name_H-M_alt 'P 1'
_space_group_IT_number 1
loop_
_space_group_symop_operation_xyz
'x,y,z'
loop_
_atom_site_label
_atom_site_type_symbol
_atom_site_fract_x
_atom_site_fract_y
_atom_site_fract_z
Sr1 Sr 0.5000 0.5000 0.1948
Sr2 Sr 0.5000 0.5000 0.8052
La1 La 0.5000 0.5000 0.5000
Cu1 Cu 0.0000 0.0000 0.3453
Cu2 Cu 0.0000 0.0000 0.6547
Cu3 Cu 0.0000 0.0000 0.0000
O1 O 0.0000 0.5000 0.6368
O2 O 0.5000 0.0000 0.3632
O3 O 0.5000 0.0000 0.6368
O4 O 0.0000 0.0000 0.1536
O5 O 0.0000 0.5000 0.3632
O6 O 0.0000 0.0000 0.8464

***

# SrLa3Cu4O10 (GGA-PBE, optimized geometry)
# ρ = 6708 kg/m³
data_SrLa3Cu4O10
_chemical_formula_sum 'Sr1 La3 Cu4 O10'
_cell_length_a 3.9111
_cell_length_b 5.4836
_cell_length_c 10.6023
_cell_angle_alpha 89.79
_cell_angle_beta 90.00
_cell_angle_gamma 90.00
_space_group_name_H-M_alt 'P 1'
_space_group_IT_number 1
loop_
_space_group_symop_operation_xyz
'x,y,z'
loop_
_atom_site_label
_atom_site_type_symbol
_atom_site_fract_x
_atom_site_fract_y
_atom_site_fract_z
Sr1 Sr 0.5000 0.2014 0.1379
La1 La 0.5000 0.8030 0.8662
La2 La 0.5000 0.6913 0.3561
La3 La 0.5000 0.3068 0.6377
Cu1 Cu 0.0000 0.2126 0.3926
Cu2 Cu 0.0000 0.7897 0.6058
Cu3 Cu 0.0000 0.7149 0.1101
Cu4 Cu 0.0000 0.2850 0.8913
O1 O 0.5000 0.2156 0.4006
O2 O 0.5000 0.7823 0.6059
O3 O 0.5000 0.7108 0.1044
O4 O 0.5000 0.2838 0.8865
O5 O 0.0000 0.4979 0.5027
O6 O 0.0000 0.9829 0.9891
O7 O 0.0000 0.4541 0.2262
O8 O 0.0000 0.5657 0.7871
O9 O 0.0000 0.9334 0.2913
O10 O 0.0000 0.0689 0.7084

***

# SrLa3Cu2O8 (GGA-PBE, optimized geometry)
# ρ = 6658 kg/m³
data_SrLa3Cu2O8
_chemical_formula_sum 'Sr1 La3 Cu2 O8'
_cell_length_a 7.0960
_cell_length_b 7.0960
_cell_length_c 5.3686
_cell_angle_alpha 90.00
_cell_angle_beta 90.00
_cell_angle_gamma 135.52
_space_group_name_H-M_alt 'P 1'
_space_group_IT_number 1
loop_
_space_group_symop_operation_xyz
'x,y,z'
loop_
_atom_site_label
_atom_site_type_symbol
_atom_site_fract_x
_atom_site_fract_y
_atom_site_fract_z
Sr1 Sr 0.6418 0.3582 0.0000
La1 La 0.1393 0.8607 0.5000
La2 La 0.8583 0.1417 0.5000
La3 La 0.3601 0.6399 0.0000
Cu1 Cu 0.5043 0.4957 0.5000
Cu2 Cu 0.9990 0.0010 0.0000
O1 O 0.2447 0.2510 0.2541
O2 O 0.7490 0.7553 0.7459
O3 O 0.7490 0.7553 0.2541
O4 O 0.2447 0.2510 0.7459
O5 O 0.3167 0.6833 0.5000
O6 O 0.8298 0.1702 0.0000
O7 O 0.1822 0.8178 0.0000
O8 O 0.6810 0.3190 0.5000

***

# Sr3LaCu4O8 (GGA-PBE, optimized geometry)
# ρ = 5726 kg/m³
data_Sr3LaCu4O8
_chemical_formula_sum 'Sr6 La2 Cu8 O16'
_cell_length_a 3.6769
_cell_length_b 11.0750
_cell_length_c 11.1650
_cell_angle_alpha 90.00
_cell_angle_beta 90.00
_cell_angle_gamma 90.00
_space_group_name_H-M_alt 'P 1'
_space_group_IT_number 1
loop_
_space_group_symop_operation_xyz
'x,y,z'
loop_
_atom_site_label
_atom_site_type_symbol
_atom_site_fract_x
_atom_site_fract_y
_atom_site_fract_z
Sr1 Sr 0.5000 0.2153 0.2598
Sr2 Sr 0.5000 0.7847 0.7598
Sr3 Sr 0.5000 0.4877 0.4632
Sr4 Sr 0.5000 0.0053 0.5322
Sr5 Sr 0.5000 0.9947 0.0322
Sr6 Sr 0.5000 0.5123 0.9632
La1 La 0.5000 0.2873 0.7360
La2 La 0.5000 0.7127 0.2360
Cu1 Cu 0.0000 0.0406 0.7898
Cu2 Cu 0.0000 0.4619 0.2146
Cu3 Cu 0.0000 0.9594 0.2898
Cu4 Cu 0.0000 0.5381 0.7146
Cu5 Cu 0.0000 0.2470 0.4966
Cu6 Cu 0.0000 0.7530 0.9966
Cu7 Cu 0.0000 0.7511 0.4988
Cu8 Cu 0.0000 0.2489 0.9988
O1 O 0.0000 0.8630 0.6164
O2 O 0.0000 0.6433 0.3751
O3 O 0.0000 0.1370 0.1164
O4 O 0.0000 0.3567 0.8751
O5 O 0.5000 0.0690 0.8062
O6 O 0.5000 0.4716 0.2091
O7 O 0.5000 0.9310 0.3062
O8 O 0.5000 0.5284 0.7091
O9 O 0.0000 0.3863 0.6009
O10 O 0.0000 0.1050 0.3986
O11 O 0.0000 0.6137 0.1009
O12 O 0.0000 0.8950 0.8986
O13 O 0.0000 0.3510 0.3584
O14 O 0.0000 0.1539 0.6444
O15 O 0.0000 0.8461 0.1444
O16 O 0.0000 0.6490 0.8584

***

# Sr2LaCuO (GGA-PBE, optimized geometry)
# ρ = 4924 kg/m³
data_Sr2LaCuO
_chemical_formula_sum 'Sr2 La1 Cu1 O1'
_cell_length_a 5.2214
_cell_length_b 5.2214
_cell_length_c 4.8697
_cell_angle_alpha 90.00
_cell_angle_beta 90.00
_cell_angle_gamma 90.00
_space_group_name_H-M_alt 'P 1'
_space_group_IT_number 1
loop_
_space_group_symop_operation_xyz
'x,y,z'
loop_
_atom_site_label
_atom_site_type_symbol
_atom_site_fract_x
_atom_site_fract_y
_atom_site_fract_z
Sr1 Sr 0.0000 0.5000 0.0000
Sr2 Sr 0.5000 0.0000 0.0000
O1 O 0.0000 0.0000 0.0000
Cu1 Cu 0.5000 0.5000 0.5000
La1 La 0.0000 0.0000 0.5000

***

# LaCuTc2O8 (GGA-PBE, optimized geometry)
# ρ = 5247 kg/m³
data_LaCuTc2O8
_chemical_formula_sum 'La1 Cu1 Tc2 O8'
_cell_length_a 5.3071
_cell_length_b 6.0519
_cell_length_c 7.1119
_cell_angle_alpha 55.41
_cell_angle_beta 68.09
_cell_angle_gamma 63.99
_space_group_name_H-M_alt 'P 1'
_space_group_IT_number 1
loop_
_space_group_symop_operation_xyz
'x,y,z'
loop_
_atom_site_label
_atom_site_type_symbol
_atom_site_fract_x
_atom_site_fract_y
_atom_site_fract_z
La1 La 0.5000 0.5000 0.5000
Cu1 Cu 0.0000 0.0000 0.0000
Tc1 Tc 0.2969 0.2290 0.1773
Tc2 Tc 0.7031 0.7710 0.8227
O1 O 0.8744 0.5881 0.6632
O2 O 0.6727 0.5234 0.1312
O3 O 0.1256 0.4119 0.3368
O4 O 0.3273 0.4766 0.8688
O5 O 0.6430 0.9703 0.2398
O6 O 0.3570 0.0297 0.7602
O7 O 0.1469 0.9703 0.2398
O8 O 0.8531 0.0297 0.7602

***

# LaCu4Te3O12 (GGA-PBE, optimized geometry)
# ρ = 5840 kg/m³
data_LaCu4Te3O12
_chemical_formula_sum 'La1 Cu4 Te3 O12'
_cell_length_a 6.9057
_cell_length_b 6.9057
_cell_length_c 6.9057
_cell_angle_alpha 106.87
_cell_angle_beta 106.87
_cell_angle_gamma 106.87
_space_group_name_H-M_alt 'P 1'
_space_group_IT_number 1
loop_
_space_group_symop_operation_xyz
'x,y,z'
loop_
_atom_site_label
_atom_site_type_symbol
_atom_site_fract_x
_atom_site_fract_y
_atom_site_fract_z
La1 La 0.0000 0.0000 0.0000
Cu1 Cu 0.8979 0.1021 0.5000
Cu2 Cu 0.1021 0.5000 0.8979
Cu3 Cu 0.5000 0.8979 0.1021
Cu4 Cu 0.5000 0.5000 0.5000
Te1 Te 0.5675 0.4325 0.0000
Te2 Te 0.4325 0.0000 0.5675
Te3 Te 0.0000 0.5675 0.4325
O1 O 0.5000 0.3287 0.6713
O2 O 0.9020 0.5000 0.0980
O3 O 0.0980 0.9020 0.5000
O4 O 0.5000 0.0980 0.9020
O5 O 0.3450 0.9966 0.2611
O6 O 0.2611 0.3450 0.9966
O7 O 0.9966 0.2611 0.3450
O8 O 0.6550 0.7389 0.0034
O9 O 0.0034 0.6550 0.7389
O10 O 0.7389 0.0034 0.6550
O11 O 0.6713 0.5000 0.3287
O12 O 0.3287 0.6713 0.5000

***

# La2CuTeO6 (GGA-PBE, optimized geometry)
# ρ = 6605 kg/m³
data_La2CuTeO6
_chemical_formula_sum 'La2 Cu1 Te1 O6'
_cell_length_a 5.8841
_cell_length_b 5.8847
_cell_length_c 5.8297
_cell_angle_alpha 59.68
_cell_angle_beta 59.69
_cell_angle_gamma 59.99
_space_group_name_H-M_alt 'P 1'
_space_group_IT_number 1
loop_
_space_group_symop_operation_xyz
'x,y,z'
loop_
_atom_site_label
_atom_site_type_symbol
_atom_site_fract_x
_atom_site_fract_y
_atom_site_fract_z
La1 La 0.5487 0.5486 0.3539
La2 La 0.0442 0.0442 0.8675
Cu1 Cu 0.8142 0.8142 0.5575
Te1 Te 0.3150 0.3151 0.0549
O1 O 0.5875 0.1644 0.2786
O2 O 0.1645 0.9695 0.2784
O3 O 0.9695 0.5874 0.2786
O4 O 0.4611 0.6571 0.7820
O5 O 0.6571 0.0999 0.7818
O6 O 0.0997 0.4613 0.7819

***

# LaCuTeO6 (GGA-PBE, optimized geometry)
# ρ = 5717 kg/m³
data_LaCuTeO6
_chemical_formula_sum 'La2 Cu2 Te2 O12'
_cell_length_a 5.0345
_cell_length_b 5.0345
_cell_length_c 9.7640
_cell_angle_alpha 90.00
_cell_angle_beta 90.00
_cell_angle_gamma 90.00
_space_group_name_H-M_alt 'P 1'
_space_group_IT_number 1
loop_
_space_group_symop_operation_xyz
'x,y,z'
loop_
_atom_site_label
_atom_site_type_symbol
_atom_site_fract_x
_atom_site_fract_y
_atom_site_fract_z
La1 La 0.5000 0.5000 0.1746
La2 La 0.0000 0.0000 0.6746
Cu1 Cu 0.5000 0.5000 0.5060
Cu2 Cu 0.0000 0.0000 0.0060
Te1 Te 0.5000 0.5000 0.8344
Te2 Te 0.0000 0.0000 0.3344
O1 O 0.1998 0.8002 0.4712
O2 O 0.8002 0.1998 0.4712
O3 O 0.3002 0.3002 0.9712
O4 O 0.6998 0.6998 0.9712
O5 O 0.1686 0.8314 0.1732
O6 O 0.8314 0.1686 0.1732
O7 O 0.3314 0.3314 0.6732
O8 O 0.6686 0.6686 0.6732
O9 O 0.7752 0.2248 0.8480
O10 O 0.2248 0.7752 0.8480
O11 O 0.7248 0.7248 0.3480
O12 O 0.2752 0.2752 0.3480

***

# La2CuTe2O (GGA-PBE, optimized geometry)
# ρ = 5051 kg/m³
data_La2CuTe2O
_chemical_formula_sum 'La2 Cu1 Te2 O1'
_cell_length_a 3.5972
_cell_length_b 3.5972
_cell_length_c 15.5628
_cell_angle_alpha 90.00
_cell_angle_beta 90.00
_cell_angle_gamma 90.00
_space_group_name_H-M_alt 'P 1'
_space_group_IT_number 1
loop_
_space_group_symop_operation_xyz
'x,y,z'
loop_
_atom_site_label
_atom_site_type_symbol
_atom_site_fract_x
_atom_site_fract_y
_atom_site_fract_z
La1 La 0.5000 0.5000 0.6349
La2 La 0.5000 0.5000 0.3651
Cu1 Cu 0.5000 0.5000 0.0000
Te1 Te 0.5000 0.5000 0.1562
Te2 Te 0.5000 0.5000 0.8438
O1 O 0.5000 0.5000 0.5000

***

# La2Ti2CuO8 (GGA-PBE, optimized geometry)
# ρ = 5447 kg/m³
data_La2Ti2CuO8
_chemical_formula_sum 'La2 Ti2 Cu1 O8'
_cell_length_a 3.7376
_cell_length_b 3.7376
_cell_length_c 12.3321
_cell_angle_alpha 90.00
_cell_angle_beta 90.00
_cell_angle_gamma 90.00
_space_group_name_H-M_alt 'P 1'
_space_group_IT_number 1
loop_
_space_group_symop_operation_xyz
'x,y,z'
loop_
_atom_site_label
_atom_site_type_symbol
_atom_site_fract_x
_atom_site_fract_y
_atom_site_fract_z
La1 La 0.0000 0.5000 0.3821
La2 La 0.5000 0.0000 0.6179
Ti1 Ti 0.0000 0.5000 0.7997
Ti2 Ti 0.5000 0.0000 0.2003
Cu1 Cu 0.5000 0.5000 0.0000
O1 O 0.0000 0.5000 0.9471
O2 O 0.5000 0.0000 0.0529
O3 O 0.0000 0.5000 0.5753
O4 O 0.5000 0.0000 0.4247
O5 O 0.5000 0.5000 0.2405
O6 O 0.0000 0.0000 0.7550
O7 O 0.5000 0.5000 0.7595
O8 O 0.0000 0.0000 0.2450

***

# La2TiCuO6 (GGA-PBE, optimized geometry)
# ρ = 6383 kg/m³
data_La2TiCuO6
_chemical_formula_sum 'La4 Ti2 Cu2 O12'
_cell_length_a 5.8222
_cell_length_b 5.6121
_cell_length_c 9.5380
_cell_angle_alpha 54.10
_cell_angle_beta 90.00
_cell_angle_gamma 90.00
_space_group_name_H-M_alt 'P 1'
_space_group_IT_number 1
loop_
_space_group_symop_operation_xyz
'x,y,z'
loop_
_atom_site_label
_atom_site_type_symbol
_atom_site_fract_x
_atom_site_fract_y
_atom_site_fract_z
La1 La 0.5549 0.7408 0.7495
La2 La 0.0549 0.2592 0.7505
La3 La 0.4451 0.2592 0.2505
La4 La 0.9451 0.7408 0.2495
Ti1 Ti 0.5000 0.5000 0.5000
Ti2 Ti 0.0000 0.5000 0.0000
Cu1 Cu 0.5000 0.0000 0.0000
Cu2 Cu 0.0000 0.0000 0.5000
O1 O 0.9741 0.8344 0.7506
O2 O 0.4741 0.1656 0.7494
O3 O 0.0259 0.1656 0.2494
O4 O 0.5259 0.8344 0.2506
O5 O 0.8142 0.2597 0.9561
O6 O 0.3142 0.7403 0.5439
O7 O 0.2158 0.3572 0.4541
O8 O 0.7158 0.6428 0.0459
O9 O 0.1858 0.7403 0.0439
O10 O 0.6858 0.2597 0.4561
O11 O 0.7842 0.6428 0.5459
O12 O 0.2842 0.3572 0.9541

***

# LaTlCu2O5 (GGA-PBE, optimized geometry)
# ρ = 7576 kg/m³
data_LaTlCu2O5
_chemical_formula_sum 'La1 Tl1 Cu2 O5'
_cell_length_a 3.8572
_cell_length_b 3.8572
_cell_length_c 8.1085
_cell_angle_alpha 90.00
_cell_angle_beta 90.00
_cell_angle_gamma 90.00
_space_group_name_H-M_alt 'P 1'
_space_group_IT_number 1
loop_
_space_group_symop_operation_xyz
'x,y,z'
loop_
_atom_site_label
_atom_site_type_symbol
_atom_site_fract_x
_atom_site_fract_y
_atom_site_fract_z
La1 La 0.0000 0.0000 0.0000
Tl1 Tl 0.0000 0.0000 0.5000
Cu1 Cu 0.5000 0.5000 0.2462
Cu2 Cu 0.5000 0.5000 0.7538
O1 O 0.0000 0.5000 0.1930
O2 O 0.5000 0.0000 0.1930
O3 O 0.0000 0.5000 0.8070
O4 O 0.5000 0.0000 0.8070
O5 O 0.5000 0.5000 0.5000

***

# LaUCu2O8 (GGA-PBE, optimized geometry)
# ρ = 6278 kg/m³
data_LaUCu2O8
_chemical_formula_sum 'La1 U1 Cu2 O8'
_cell_length_a 6.0121
_cell_length_b 6.0121
_cell_length_c 6.0121
_cell_angle_alpha 108.65
_cell_angle_beta 108.65
_cell_angle_gamma 111.13
_space_group_name_H-M_alt 'P 1'
_space_group_IT_number 1
loop_
_space_group_symop_operation_xyz
'x,y,z'
loop_
_atom_site_label
_atom_site_type_symbol
_atom_site_fract_x
_atom_site_fract_y
_atom_site_fract_z
La1 La 0.0000 0.0000 0.0000
U1 U 0.2500 0.7500 0.5000
Cu1 Cu 0.7500 0.2500 0.5000
Cu2 Cu 0.5000 0.5000 0.0000
O1 O 0.3795 0.0460 0.3335
O2 O 0.3112 0.5162 0.2051
O3 O 0.3112 0.1061 0.7949
O4 O 0.7125 0.0460 0.6665
O5 O 0.8939 0.6888 0.2051
O6 O 0.9540 0.2875 0.3335
O7 O 0.9540 0.6205 0.6665
O8 O 0.4838 0.6888 0.7949

***

For reference, formation energy from raw total energies by record: -246.6, -181.4, -195.3, -233.4, -179.0, -91.0, -154.1, -101.0, -200.1, -133.6, -57.4, -271.3, -267.8, -118.6, -166.7 kJ per mole of atoms.